(1)
Entry from Alexandria: AgP4Cl at its PBEsol-relaxed geometry (meta-GGA SCAN).

a b c (Å): 5.473 5.473 5.473
angles (deg): 60.00 60.00 60.00
Fractional coordinates of all 6 atoms:
1 Ag 0.000 0.000 0.000
2 P 0.197 0.601 0.601
3 P 0.601 0.197 0.601
4 P 0.601 0.601 0.197
5 P 0.601 0.601 0.601
6 Cl 0.250 0.250 0.250

Output
The electronic total energy comes out at -79.55 eV per cell. Its space group is F-43m (216). Its formation energy without anion corrections is 0.2318 eV/atom.

(2)
Entry from Alexandria: Zn2WBr at its PBEsol-relaxed geometry (meta-GGA SCAN).

a b c (Å): 2.964 4.455 4.826
angles (deg): 90.00 90.00 90.00
Fractional coordinates of all 4 atoms:
1 Zn 0.000 0.000 0.000
2 Zn 0.000 0.500 0.294
3 W 0.500 0.500 0.802
4 Br 0.500 0.000 0.523

Output
The electronic total energy comes out at -113.78 eV per cell. Its space group is Pmm2 (25). For the distance to the lowest polymorph of the same formula, the calculation gives 174 meV per atom. Its formation energy without anion corrections is 0.5982 eV/atom.

(3)
Entry from Alexandria: YMgCu at its PBEsol-relaxed geometry (meta-GGA SCAN).

a b c (Å): 6.676 5.419 7.365
angles (deg): 90.00 109.03 90.00
Fractional coordinates of all 12 atoms:
1 Y 0.159 0.113 0.365
2 Y 0.159 0.387 0.865
3 Y 0.841 0.613 0.135
4 Y 0.841 0.887 0.635
5 Mg 0.424 0.614 0.300
6 Mg 0.424 0.886 0.800
7 Mg 0.576 0.114 0.200
8 Mg 0.576 0.386 0.700
9 Cu 0.170 0.609 0.516
10 Cu 0.170 0.891 0.016
11 Cu 0.830 0.109 0.984
12 Cu 0.830 0.391 0.484

Output
The electronic total energy comes out at -194.94 eV per cell. The formation energy is -0.2398 eV per atom. Its space group is P2_1/c (14). For the distance to the lowest polymorph of the same formula, the calculation gives 32 meV per atom.